18
Lattice="4.848 0.000 0.000 -2.423 9.175 -0.001 0.000 0.002 11.811" Properties=species:S:1:pos:R:3 comment="Ac5Si2PtN (PBE-GGA, relaxed)" e_form_raw_ev_per_atom=-0.74 n_ef_per_ev_atom=0.5501 pbc="T T T"
Si 0.000 2.646 3.709
Si 0.000 1.732 8.198
Si 2.425 7.445 2.292
Si 2.425 6.530 9.614
Ac 0.001 6.324 4.620
Ac 2.424 2.901 6.006
Ac 0.001 6.275 0.100
Ac 2.425 8.981 5.604
Ac 0.000 4.869 8.308
Ac 2.425 0.551 2.688
Ac 2.424 2.854 10.527
Ac 0.000 0.196 11.511
Ac 2.425 4.308 2.404
Ac 0.000 8.626 8.593
Pt 0.001 3.085 1.048
Pt 2.424 6.091 6.952
N 2.423 0.370 10.885
N 0.001 8.807 4.978

***

18
Lattice="-2.760 -0.660 3.750 2.519 -9.257 -2.725 10.798 0.569 8.049" Properties=species:S:1:pos:R:3 comment="Ac5Sn2PtN (PBE-GGA, relaxed)" e_form_raw_ev_per_atom=-0.85 n_ef_per_ev_atom=0.6071 pbc="T T T"
N 8.706 -0.583 9.255
N 5.640 -8.565 2.644
Pt 5.150 -6.003 5.683
Pt 0.849 -3.585 -0.006
Sn 1.545 -7.742 2.723
Sn 3.871 -2.368 2.432
Sn 7.677 -1.677 5.356
Sn 8.421 -6.888 7.935
Ac 8.015 -5.080 5.006
Ac 1.076 -4.346 2.976
Ac 9.389 -8.930 5.340
Ac 8.558 -3.033 8.715
Ac 0.881 -6.526 -0.501
Ac 4.487 -3.096 5.707
Ac 4.916 -6.161 2.535
Ac 10.830 0.063 7.984
Ac 5.070 -9.130 5.074
Ac 1.524 -0.399 4.001

***

16
Lattice="-0.211 -3.486 0.394 5.035 1.049 -3.691 6.863 0.664 9.550" Properties=species:S:1:pos:R:3 comment="AcTb2PtN4 (PBE-GGA, relaxed)" e_form_raw_ev_per_atom=-0.84 n_ef_per_ev_atom=0.6886 pbc="T T T"
N 5.278 -0.125 1.725
N 0.000 0.000 0.000
N 9.538 -0.120 4.050
N 6.409 -1.648 4.529
N 8.182 -1.477 6.996
N 3.431 0.332 4.775
N 2.148 -1.653 2.203
N 3.505 -0.297 -0.743
Pt 8.451 -1.725 4.943
Pt 3.236 -0.048 1.310
Tb 7.410 -0.152 2.625
Tb 1.483 -1.891 -0.260
Tb 10.204 0.118 6.513
Tb 4.277 -1.621 3.629
Ac 5.474 -2.121 -0.154
Ac 6.212 0.348 6.408

***

9
Lattice="-1.677 -2.107 -3.400 -5.329 -3.435 4.756 -2.251 8.189 -1.197" Properties=species:S:1:pos:R:3 comment="Ac4Te2PtN2 (PBE-GGA, relaxed)" e_form_raw_ev_per_atom=-1.37 pbc="T T T"
Ac -2.156 2.475 -0.470
Ac -5.137 -3.148 1.717
Ac -4.120 5.796 -1.559
Ac -7.101 0.172 0.629
N -2.117 4.593 -1.802
N -7.140 -1.946 1.960
Te -3.633 -0.007 1.796
Te -5.624 2.655 -1.637
Pt 0.000 0.000 0.000